# La6Tb8Mg

Crystalline La6Tb8Mg at its relaxed geometry (GGA-PBE, the Alexandria database).

Lattice parameters (Å, degrees): 9.620 9.620 6.418 90.00 90.00 120.00
Atoms (fractional coordinates):
La 0.088 0.448 0.186
La 0.361 0.912 0.186
La 0.448 0.361 0.814
La 0.552 0.639 0.186
La 0.639 0.088 0.814
La 0.912 0.552 0.814
Tb 0.041 0.264 0.688
Tb 0.223 0.959 0.688
Tb 0.264 0.223 0.312
Tb 0.333 0.667 0.665
Tb 0.667 0.333 0.335
Tb 0.736 0.777 0.688
Tb 0.777 0.041 0.312
Tb 0.959 0.736 0.312
Mg 0.000 0.000 0.000

Calculated values
Symmetry = No. 147
Formation energy = 0.12 eV per atom

***

# GaTcH6

Crystalline GaTcH6 at its relaxed geometry (GGA-PBE, the Alexandria database).

Lattice parameters (Å, degrees): 3.106 4.804 5.236 85.33 72.83 71.92
Atoms (fractional coordinates):
Ga 0.000 0.000 0.000
Tc 0.500 0.500 0.000
H 0.098 0.498 0.804
H 0.239 0.752 0.266
H 0.493 0.254 0.266
H 0.507 0.746 0.734
H 0.761 0.248 0.734
H 0.902 0.502 0.196

Calculated values
Symmetry = No. 2

***

# V3CuC

Crystalline V3CuC at its relaxed geometry (GGA-PBE, the Alexandria database).

Lattice parameters (Å, degrees): 3.942 3.942 3.942 90.00 90.00 90.00
Atoms (fractional coordinates):
V 0.000 0.000 0.500
V 0.000 0.500 0.000
V 0.500 0.000 0.000
Cu 0.500 0.500 0.500
C 0.000 0.000 0.000

Calculated values
Polymorph energy (0 for the lowest one) = 0 meV per atom
Symmetry = No. 221
Formation energy = -0.12 eV per atom

***

# Pm2Sm5Er

Crystalline Pm2Sm5Er at its relaxed geometry (GGA-PBE, the Alexandria database).

Lattice parameters (Å, degrees): 7.241 14.492 5.103 90.00 90.00 90.00
Atoms (fractional coordinates):
Pm 0.249 0.124 0.000
Pm 0.251 0.624 0.000
Pm 0.749 0.376 0.000
Pm 0.751 0.876 0.000
Sm 0.000 0.500 0.500
Sm 0.001 0.751 0.500
Sm 0.250 0.375 0.000
Sm 0.250 0.875 0.000
Sm 0.499 0.251 0.500
Sm 0.500 0.000 0.500
Sm 0.501 0.749 0.500
Sm 0.750 0.125 0.000
Sm 0.750 0.625 0.000
Sm 0.999 0.249 0.500
Er 0.000 0.000 0.500
Er 0.500 0.500 0.500

Calculated values
Polymorph energy (0 for the lowest one) = 0 meV per atom
Symmetry = No. 55
Formation energy = 0.02 eV per atom

***

How do the records compare in electronic total energy? In the order shown, they have -4.43 -4.09 -8.25 -4.69 eV per atom.